(1)
An optimized crystal structure of DyEr5Sb4. Source: Alexandria, functional PBE.

## Properties
* V: 317.1 Å³/f.u.
* crystal system: monoclinic
* formation energy without anion corrections: -0.6917 eV per atom
* uncorrected energy: -50.823 eV per cell

Unit cell a=4.276 b=8.343 c=9.492 alpha=105.61 beta=103.02 gamma=90.00
Sites, in units of the cell vectors:
Dy 0.500 0.000 0.000
Er 0.820 0.650 0.640
Er 0.838 0.181 0.676
Er 0.162 0.819 0.324
Er 0.500 0.500 0.000
Er 0.180 0.350 0.360
Sb 0.330 0.915 0.660
Sb 0.991 0.740 0.981
Sb 0.670 0.085 0.340
Sb 0.009 0.260 0.019



(2)
An optimized crystal structure of DyEr2ScSb4. Source: Alexandria, functional PBE.

## Properties
* V: 227.8 Å³/f.u.
* crystal system: orthorhombic
* formation energy without anion corrections: -1.0570 eV per atom
* uncorrected energy: -45.005 eV per cell

Unit cell a=6.110 b=6.110 c=7.477 alpha=114.12 beta=114.12 gamma=89.99
Sites, in units of the cell vectors:
Dy 0.938 0.938 0.000
Er 0.187 0.687 0.500
Er 0.687 0.187 0.500
Sc 0.437 0.437 0.000
Sb 0.937 0.438 0.000
Sb 0.438 0.937 0.000
Sb 0.193 0.193 0.511
Sb 0.682 0.682 0.489



(3)
An optimized crystal structure of DyEr2Sc3Sb6. Source: Alexandria, functional PBE.

## Properties
* V: 329.0 Å³/f.u.
* crystal system: monoclinic
* formation energy without anion corrections: -1.0172 eV per atom
* uncorrected energy: -69.663 eV per cell

Unit cell a=7.393 b=7.393 c=7.376 alpha=99.61 beta=99.61 gamma=120.02
Sites, in units of the cell vectors:
Dy 0.000 0.000 0.000
Er 0.333 0.667 0.000
Er 0.667 0.333 0.000
Sc 0.166 0.834 0.500
Sc 0.834 0.166 0.500
Sc 0.500 0.500 0.500
Sb 0.912 0.577 0.736
Sb 0.753 0.753 0.263
Sb 0.088 0.423 0.264
Sb 0.577 0.912 0.736
Sb 0.247 0.247 0.737
Sb 0.423 0.088 0.264



(4)
An optimized crystal structure of SmDyEr2Sb4. Source: Alexandria, functional PBE.

## Properties
* V: 239.5 Å³/f.u.
* crystal system: monoclinic
* formation energy without anion corrections: -1.1219 eV per atom
* uncorrected energy: -43.912 eV per cell

Unit cell a=4.394 b=7.603 c=7.605 alpha=70.52 beta=90.00 gamma=90.00
Sites, in units of the cell vectors:
Sm 0.500 0.500 0.000
Dy 0.000 0.500 0.500
Er 0.000 0.000 0.000
Er 0.500 0.000 0.500
Sb 0.000 0.756 0.745
Sb 0.000 0.244 0.255
Sb 0.500 0.754 0.251
Sb 0.500 0.246 0.749



(5)
An optimized crystal structure of Sm2Dy3ErSb6. Source: Alexandria, functional PBE.

## Properties
* V: 363.4 Å³/f.u.
* crystal system: monoclinic
* formation energy without anion corrections: -1.1385 eV per atom
* uncorrected energy: -66.204 eV per cell

Unit cell a=4.409 b=8.815 c=9.855 alpha=102.89 beta=102.92 gamma=90.00
Sites, in units of the cell vectors:
Sm 0.834 0.667 0.668
Sm 0.166 0.333 0.332
Dy 0.500 0.500 0.000
Dy 0.832 0.166 0.665
Dy 0.168 0.834 0.335
Er 0.500 0.000 0.000
Sb 0.334 0.921 0.669
Sb 0.666 0.587 0.331
Sb 0.666 0.079 0.331
Sb 0.998 0.247 0.996
Sb 0.002 0.753 0.004
Sb 0.334 0.413 0.669



(6)
An optimized crystal structure of Sm2DyEr3Sb6. Source: Alexandria, functional PBE.

## Properties
* V: 360.7 Å³/f.u.
* crystal system: monoclinic
* formation energy without anion corrections: -1.1260 eV per atom
* uncorrected energy: -65.975 eV per cell

Unit cell a=4.398 b=8.793 c=9.830 alpha=102.85 beta=102.93 gamma=90.00
Sites, in units of the cell vectors:
Sm 0.834 0.667 0.668
Sm 0.166 0.333 0.332
Dy 0.500 0.000 0.000
Er 0.500 0.500 0.000
Er 0.833 0.166 0.665
Er 0.167 0.834 0.335
Sb 0.333 0.922 0.667
Sb 0.665 0.588 0.330
Sb 0.667 0.078 0.333
Sb 0.998 0.250 0.995
Sb 0.002 0.750 0.005
Sb 0.335 0.412 0.670